PBE with a Hubbard U NiSb2H12O6F8, optimized geometry; total DFT energy (no corrections) = -4.850 eV per atom
1.0
5.0547 0.0000 0.0000
0.0000 18.3615 0.0000
-3.6399 0.0000 6.7453
Ni Sb H O F
2 4 24 12 16
Direct
0.0000 0.0000 0.0000
0.0000 0.5000 0.5000
0.3707 0.2163 0.4790
0.3707 0.2837 0.9790
0.6293 0.7163 0.0210
0.6293 0.7837 0.5210
0.1480 0.5900 0.7963
0.1480 0.9100 0.2963
0.1859 0.1138 0.8491
0.1859 0.3862 0.3491
0.2747 0.6208 0.4653
0.2747 0.8792 0.9653
0.2897 0.5576 0.3311
0.2897 0.9424 0.8311
0.4349 0.0561 0.3318
0.4349 0.4439 0.8318
0.4740 0.0242 0.6876
0.4740 0.4758 0.1876
0.5260 0.5242 0.8124
0.5260 0.9758 0.3124
0.5651 0.5561 0.1682
0.5651 0.9439 0.6682
0.7103 0.0576 0.1689
0.7103 0.4424 0.6689
0.7253 0.1208 0.0347
0.7253 0.3792 0.5347
0.8141 0.6138 0.6509
0.8141 0.8862 0.1509
0.8520 0.0900 0.7037
0.8520 0.4100 0.2037
0.0473 0.0716 0.8079
0.0473 0.4284 0.3079
0.1594 0.5792 0.3822
0.1594 0.9208 0.8822
0.4445 0.0212 0.2352
0.4445 0.4788 0.7352
0.5555 0.5212 0.2648
0.5555 0.9788 0.7648
0.8406 0.0792 0.1178
0.8406 0.4208 0.6178
0.9527 0.5716 0.6921
0.9527 0.9284 0.1921
0.1916 0.7215 0.8539
0.1916 0.7785 0.3539
0.4209 0.1868 0.2453
0.4209 0.3132 0.7453
0.4393 0.1809 0.8837
0.4393 0.3191 0.3837
0.4729 0.0995 0.5391
0.4729 0.4005 0.0391
0.5271 0.5995 0.9609
0.5271 0.9005 0.4609
0.5607 0.6809 0.6163
0.5607 0.8191 0.1163
0.5791 0.6868 0.2547
0.5791 0.8132 0.7547
0.8084 0.2215 0.6461
0.8084 0.2785 0.1461